[1]
An optimized crystal structure of Sm8CdSn6, computed with GGA-PBE.

extended XYZ file:
```
15
Lattice="9.355 0.000 0.000 4.677 8.101 0.000 4.677 2.700 6.395" Properties=species:S:1:pos:R:3 pbc="T T T"
Sm 11.347 2.753 4.546
Sm 6.065 4.999 4.546
Sn 10.602 8.133 1.397
Sm 14.032 8.101 6.376
Sn 7.613 7.847 4.998
Sn 6.366 5.115 1.397
Sm 4.677 2.701 0.019
Sn 11.097 2.955 1.397
Sn 8.108 2.669 4.998
Sm 12.644 5.803 1.849
Cd 0.000 0.000 0.000
Sn 12.344 5.687 4.998
Sm 8.058 2.352 1.849
Sm 10.652 8.450 4.546
Sm 7.362 8.049 1.849
```

Summary:
For the magnetic moment, the calculation gives 0.00 μB/f.u. The value obtained for the total energy is -4.75 eV/atom. Its crystal system is trigonal. The symmetry is R-3.



[2]
An optimized crystal structure of AcSmTe2, computed with GGA-PBE.

extended XYZ file:
```
8
Lattice="4.471 0.000 0.000 -2.235 3.872 0.000 0.000 0.000 15.798" Properties=species:S:1:pos:R:3 pbc="T T T"
Sm 0.000 0.000 7.899
Sm 0.000 0.000 0.000
Ac 0.000 2.581 11.849
Te 0.000 2.581 1.812
Te 2.235 1.291 9.711
Te 2.235 1.291 13.986
Te 0.000 2.581 6.087
Ac 2.235 1.291 3.950
```

Summary:
For the magnetic moment, the calculation gives 0.00 μB/f.u. Its crystal system is hexagonal. The symmetry is P6_3/mmc. Its formation energy from raw total energies is -1.427 eV per atom.



[3]
An optimized crystal structure of TlAgSn2Se6, computed with GGA-PBE.

extended XYZ file:
```
20
Lattice="7.167 0.208 0.216 2.558 9.446 0.030 2.558 -0.320 9.440" Properties=species:S:1:pos:R:3 pbc="T T T"
Se 2.235 2.777 4.248
Ag 4.350 1.889 7.416
Ag 7.934 7.445 2.271
Se 6.465 5.088 6.646
Se 10.049 6.557 5.439
Sn 5.186 7.231 5.948
Sn 8.769 5.781 7.554
Se 6.247 0.934 5.908
Se 6.895 0.413 1.797
Sn 3.514 3.554 2.133
Se 6.037 8.400 3.779
Se 5.388 8.921 7.890
Sn 7.098 2.104 3.738
Tl 7.934 1.531 7.969
Se 5.818 4.246 3.041
Se 8.972 7.658 9.316
Se 2.663 5.765 1.045
Tl 4.350 7.803 1.718
Se 3.312 1.676 0.371
Se 9.620 3.569 8.642
```

Summary:
For the magnetic moment, the calculation gives 0.00 μB/f.u. Its crystal system is monoclinic. The symmetry is C2/c. Its formation energy from raw total energies is -0.214 eV per atom.



[4]
An optimized crystal structure of Cs3Ac2PaTe6, computed with GGA-PBE.

extended XYZ file:
```
12
Lattice="-5.078 6.266 1.969 -3.065 -7.635 -1.111 3.931 -1.302 8.444" Properties=species:S:1:pos:R:3 pbc="T T T"
Te -3.485 0.099 7.917
Pa 0.000 0.000 0.000
Te -5.325 -1.289 2.339
Ac -4.406 1.624 0.940
Te -1.367 1.637 2.361
Te -0.728 -2.770 1.385
Te 1.112 -1.382 6.963
Ac -3.737 -2.994 -0.083
Cs -1.444 -5.909 3.638
Te -2.847 -4.308 6.941
Cs -2.107 -1.336 4.651
Cs -2.769 3.238 5.664
```

Summary:
For the magnetic moment, the calculation gives 1.86 μB/f.u. Its crystal system is monoclinic. The symmetry is C2/m. Its formation energy from raw total energies is -1.279 eV per atom.



[5]
An optimized crystal structure of Y3Ga4Cu2, computed with GGA-PBE.

extended XYZ file:
```
18
Lattice="-0.528 2.381 -3.562 2.578 -3.461 -0.080 -17.435 -12.850 -6.006" Properties=species:S:1:pos:R:3 pbc="T T T"
Y -2.935 -4.814 -2.783
Y -11.429 -11.074 -5.709
Y -8.706 -9.067 -4.771
Y -14.534 -13.363 -6.779
Cu -16.858 -12.365 -8.383
Cu -0.082 -0.061 -0.028
Ga -8.495 -6.261 -2.927
Cu -10.945 -8.007 -6.347
Ga -14.212 -10.415 -7.472
Ga -14.266 -10.514 -4.915
Y 0.161 -2.532 -1.716
Cu -5.198 -3.772 -4.367
Ga -2.715 -2.001 -0.935
Y -5.661 -6.823 -3.722
Ga -5.921 -4.364 -2.040
Ga -11.681 -8.609 -4.024
Ga -8.449 -6.168 -5.487
Ga -2.683 -1.918 -3.500
```

Summary:
For the magnetic moment, the calculation gives 0.00 μB/f.u. The value obtained for the total energy is -4.96 eV/atom. Its crystal system is trigonal. The symmetry is P3m1.



[6]
An optimized crystal structure of InPNF2, computed with GGA-PBE.

extended XYZ file:
```
5
Lattice="-2.553 -3.778 -1.106 3.812 -2.702 0.430 -0.691 -0.467 3.191" Properties=species:S:1:pos:R:3 pbc="T T T"
F 1.906 -1.351 0.215
N -0.346 -0.234 1.596
F -1.277 -1.889 -0.553
P 0.000 0.000 0.000
In 0.284 -3.474 1.258
```

Summary:
For the magnetic moment, the calculation gives 0.00 μB/f.u. Its crystal system is tetragonal. The symmetry is P4/mmm. Its formation energy from raw total energies is -0.645 eV per atom.



[7]
An optimized crystal structure of Rb2TlF3, computed with GGA-PBE.

extended XYZ file:
```
12
Lattice="5.749 0.000 0.000 0.000 8.215 -0.022 0.000 -4.044 7.151" Properties=species:S:1:pos:R:3 pbc="T T T"
F 0.022 0.777 5.939
F 5.433 0.677 1.156
Rb 0.015 -0.643 3.555
Tl 5.749 3.474 5.937
F 2.558 3.495 5.973
Rb 2.890 4.814 3.574
Rb 0.015 3.414 1.181
F 2.897 3.394 1.189
F 0.022 4.797 3.587
Tl 2.875 0.697 1.192
F 2.897 -0.626 3.542
Rb 2.890 0.757 5.948
```

Summary:
For the magnetic moment, the calculation gives 0.00 μB/f.u. Its crystal system is orthorhombic. The symmetry is Cmc2_1. Its formation energy from raw total energies is -2.336 eV per atom.



[8]
An optimized crystal structure of NaTcPt, computed with GGA-PBE.

extended XYZ file:
```
3
Lattice="1.574 -3.148 2.482 0.719 0.714 4.186 -2.509 -1.863 2.964" Properties=species:S:1:pos:R:3 pbc="T T T"
Na -0.054 -1.074 2.408
Pt -0.108 -2.149 4.816
Tc -0.162 -3.223 7.224
```

Summary:
For the magnetic moment, the calculation gives 0.00 μB/f.u. The value obtained for the total energy is -5.18 eV/atom. Its crystal system is cubic. The symmetry is F-43m.